# MgCrHg2 PBEsol relaxed
data_MgCrHg2
_chemical_formula_sum 'Mg1 Cr1 Hg2'
_cell_length_a 4.5560
_cell_length_b 4.5560
_cell_length_c 3.5690
_cell_angle_alpha 90.00
_cell_angle_beta 90.00
_cell_angle_gamma 90.00
_symmetry_space_group_name_H-M 'P 1'
_symmetry_Int_Tables_number 1
loop_
_symmetry_equiv_pos_as_xyz
'x,y,z'
loop_
_atom_site_label
_atom_site_fract_x
_atom_site_fract_y
_atom_site_fract_z
Mg1 0.0000 0.0000 0.0000
Cr1 0.5000 0.5000 0.0000
Hg1 0.0000 0.5000 0.5000
Hg2 0.5000 0.0000 0.5000
# Crystal system: tetragonal
# Space group: P4/mmm (123)
# Volume in Å³/atom: 18.5
# E_form in eV per atom: 0.118

---

# BaCa2BiSb PBEsol relaxed
data_BaCa2BiSb
_chemical_formula_sum 'Ba1 Ca2 Bi1 Sb1'
_cell_length_a 5.7616
_cell_length_b 5.7616
_cell_length_c 6.4266
_cell_angle_alpha 90.00
_cell_angle_beta 90.00
_cell_angle_gamma 90.00
_symmetry_space_group_name_H-M 'P 1'
_symmetry_Int_Tables_number 1
loop_
_symmetry_equiv_pos_as_xyz
'x,y,z'
loop_
_atom_site_label
_atom_site_fract_x
_atom_site_fract_y
_atom_site_fract_z
Ba1 0.0000 0.0000 0.0000
Ca1 0.0000 0.5000 0.5000
Ca2 0.5000 0.0000 0.5000
Bi1 0.5000 0.5000 0.0000
Sb1 0.5000 0.5000 0.5000
# Crystal system: tetragonal
# Space group: P4/mmm (123)
# Volume in Å³/atom: 42.7
# Total DFT energy (no corrections) in eV per formula unit: -17.0

---

# Li4Hg5 PBEsol relaxed
data_Li4Hg5
_chemical_formula_sum 'Li8 Hg10'
_cell_length_a 8.1758
_cell_length_b 8.1758
_cell_length_c 5.7239
_cell_angle_alpha 90.00
_cell_angle_beta 90.00
_cell_angle_gamma 120.00
_symmetry_space_group_name_H-M 'P 1'
_symmetry_Int_Tables_number 1
loop_
_symmetry_equiv_pos_as_xyz
'x,y,z'
loop_
_atom_site_label
_atom_site_fract_x
_atom_site_fract_y
_atom_site_fract_z
Li1 0.0000 0.0000 0.0000
Li2 0.0000 0.0000 0.5000
Li3 0.0000 0.3635 0.2500
Li4 0.0000 0.6365 0.7500
Li5 0.3635 0.0000 0.2500
Li6 0.3635 0.3635 0.7500
Li7 0.6365 0.0000 0.7500
Li8 0.6365 0.6365 0.2500
Hg1 0.0000 0.2941 0.7500
Hg2 0.0000 0.7059 0.2500
Hg3 0.2941 0.0000 0.7500
Hg4 0.2941 0.2941 0.2500
Hg5 0.3333 0.6667 0.0000
Hg6 0.3333 0.6667 0.5000
Hg7 0.6667 0.3333 0.0000
Hg8 0.6667 0.3333 0.5000
Hg9 0.7059 0.0000 0.2500
Hg10 0.7059 0.7059 0.7500
# Crystal system: hexagonal
# Space group: P6_3/mcm (193)
# Volume in Å³/atom: 18.4
# E_form in eV per atom: -0.344

---

# KCoAu PBEsol relaxed
data_KCoAu
_chemical_formula_sum 'K1 Co1 Au1'
_cell_length_a 6.2614
_cell_length_b 6.2614
_cell_length_c 6.2614
_cell_angle_alpha 148.04
_cell_angle_beta 148.04
_cell_angle_gamma 45.82
_symmetry_space_group_name_H-M 'P 1'
_symmetry_Int_Tables_number 1
loop_
_symmetry_equiv_pos_as_xyz
'x,y,z'
loop_
_atom_site_label
_atom_site_fract_x
_atom_site_fract_y
_atom_site_fract_z
K1 0.0000 0.0000 0.0000
Co1 0.2664 0.2664 0.0000
Au1 0.7218 0.7218 0.0000
# Crystal system: tetragonal
# Space group: I4mm (107)
# Volume in Å³/atom: 22.8
# E_form in eV per atom: 0.501

---

# SiTeNF2 PBEsol relaxed
data_SiTeNF2
_chemical_formula_sum 'Si1 Te1 N1 F2'
_cell_length_a 4.4143
_cell_length_b 4.4143
_cell_length_c 4.1708
_cell_angle_alpha 90.00
_cell_angle_beta 90.00
_cell_angle_gamma 90.00
_symmetry_space_group_name_H-M 'P 1'
_symmetry_Int_Tables_number 1
loop_
_symmetry_equiv_pos_as_xyz
'x,y,z'
loop_
_atom_site_label
_atom_site_fract_x
_atom_site_fract_y
_atom_site_fract_z
Si1 0.0000 0.0000 0.0000
Te1 0.5000 0.5000 0.5000
N1 0.5000 0.5000 0.0000
F1 0.0000 0.5000 0.5000
F2 0.5000 0.0000 0.5000
# Crystal system: tetragonal
# Space group: P4/mmm (123)
# Volume in Å³/atom: 16.3
# Total DFT energy (no corrections) in eV per formula unit: -21.2

---

# TaSbTe2 PBEsol relaxed
data_TaSbTe2
_chemical_formula_sum 'Ta1 Sb1 Te2'
_cell_length_a 7.1791
_cell_length_b 7.1791
_cell_length_c 7.1791
_cell_angle_alpha 152.44
_cell_angle_beta 141.70
_cell_angle_gamma 47.84
_symmetry_space_group_name_H-M 'P 1'
_symmetry_Int_Tables_number 1
loop_
_symmetry_equiv_pos_as_xyz
'x,y,z'
loop_
_atom_site_label
_atom_site_fract_x
_atom_site_fract_y
_atom_site_fract_z
Ta1 0.0000 0.0000 0.0000
Sb1 0.8155 0.3155 0.5000
Te1 0.1652 0.6652 0.5000
Te2 0.4588 0.4588 0.0000
# Crystal system: orthorhombic
# Space group: Imm2 (44)
# Volume in Å³/atom: 26.4
# Total DFT energy (no corrections) in eV per formula unit: -23.6

---

Which formula does entry 1 have?
MgCrHg2

---

What is the volume in the second record?
42.7 Å³/atom